Material: NaBeAsPt
Method: DFT, PBE
State: optimized geometry

Structure (CIF):
```
data_NaBeAsPt
_space_group_name_H-M_alt 'F -4 3 m'
_space_group_IT_number 216
_space_group_name_Hall 'F -4 2 3'
_cell_length_a 6.244
_cell_length_b 6.244
_cell_length_c 6.244
_cell_angle_alpha 90.00
_cell_angle_beta 90.00
_cell_angle_gamma 90.00
loop_
_atom_site_label
_atom_site_type_symbol
_atom_site_fract_x
_atom_site_fract_y
_atom_site_fract_z
Na1 Na 0.000 0.000 0.000
Be1 Be 0.000 0.000 0.500
As1 As 0.250 0.250 0.750
Pt1 Pt 0.250 0.250 0.250
```

## Properties
Distance to the lowest polymorph of the same formula: 186 meV/atom